8
Lattice="9.5396 0.0000 0.0000 0.0000 3.2203 0.0000 -1.1221 0.0000 4.6046" Properties=species:S:1:pos:R:3 comment="SCAN TlMo2Au, single point on PBEsol structure" total_energy_ev_per_fu=-209.36 m_tot_mub_per_fu=0.0 spacegroup="No. 12" pbc="T T T"
Tl 0.0000 0.0000 0.0000
Tl 4.7698 1.6102 0.0000
Mo 1.5530 0.0000 3.2401
Mo 2.0947 1.6102 1.3645
Mo 6.3228 1.6102 3.2401
Mo 6.8645 0.0000 1.3645
Au -0.5610 1.6102 2.3023
Au 4.2088 0.0000 2.3023